NdDyBi2 | PBE | optimized geometry

a b c (Å): 4.5108 4.5108 23.1617
angles (deg): 90.00 90.00 120.00
Closest atoms and distances in Å follow each position.
Space group R3m (No. 160, hexagonal axes)
Asymmetric unit:
Nd (0.0000, 0.0000, 0.0000) [3 per cell]  6 Bi 3.23-3.29
Dy (0.0000, 0.0000, 0.8291) [3 per cell]  6 Bi 3.20-3.25
Bi (0.0000, 0.0000, 0.4157) [3 per cell]  3 Dy 3.20, 3 Nd 3.23
Bi (0.0000, 0.0000, 0.5799) [3 per cell]  3 Dy 3.25, 3 Nd 3.29

Output
Calculated formation energy = -3.15 eV/f.u.
VASP energy = -5.07 eV/atom

=====

Nd3DyBi3 | PBE | optimized geometry

a b c (Å): 9.6238 9.6238 9.6238
angles (deg): 90.00 90.00 90.00
Closest atoms and distances in Å follow each position.
Space group P2_13 (No. 198)
Asymmetric unit:
Nd (0.0675, 0.4325, 0.5675) [4 per cell]  6 Bi 3.24-3.44
Nd (0.1762, 0.8238, 0.3238) [4 per cell]  6 Bi 3.22-3.46
Nd (0.1783, 0.1783, 0.1783) [4 per cell]  6 Bi 3.21-3.48
Dy (0.0734, 0.5734, 0.9266) [4 per cell]  6 Bi 3.17-3.44
Bi (0.0020, 0.2561, 0.8718) [12 per cell]  2 Dy 3.17-3.44, 6 Nd 3.21-3.48

Output
Calculated formation energy = -5.62 eV/f.u.
VASP energy = -5.17 eV/atom